Record 1
BaHg2Au | Alexandria via LeMat-Bulk | meta-GGA SCAN | PBEsol geometry; density = 11412 kg/m3; calculated volume = 26.76 Å³/atom; total magnetic moment = 0.0 Bohr magnetons per cell; SG = No. 119; DFT formation energy = -0.51 eV per atom
1.0
-2.5546 2.5546 4.0998
2.5546 -2.5546 4.0998
2.5546 2.5546 -4.0998
Ba Hg Au
1 2 1
direct
0.0000 0.0000 0.0000
0.5000 0.5000 0.0000
0.7500 0.2500 0.5000
0.2500 0.7500 0.5000

Record 2
BaHg2Au | Alexandria via LeMat-Bulk | meta-GGA SCAN | PBEsol geometry; density = 11108 kg/m3; calculated volume = 27.49 Å³/atom; total magnetic moment = 0.0 Bohr magnetons per cell; SG = No. 123; DFT formation energy = -0.50 eV per atom
1.0
4.6181 0.0000 0.0000
0.0000 4.6181 0.0000
0.0000 0.0000 5.1551
Ba Hg Au
1 2 1
direct
0.0000 0.0000 0.0000
0.0000 0.5000 0.5000
0.5000 0.0000 0.5000
0.5000 0.5000 0.0000

Record 3
BaHg2Au | Alexandria via LeMat-Bulk | meta-GGA SCAN | PBEsol geometry; density = 11776 kg/m3; calculated volume = 25.93 Å³/atom; total magnetic moment = 0.0 Bohr magnetons per cell; SG = No. 123; DFT formation energy = -0.44 eV per atom
1.0
3.8117 0.0000 0.0000
0.0000 3.8117 0.0000
0.0000 0.0000 7.1381
Ba Hg Au
1 2 1
direct
0.0000 0.0000 0.0000
0.5000 0.5000 0.2974
0.5000 0.5000 0.7026
0.0000 0.0000 0.5000

Record 4
BaHg2Au | Alexandria via LeMat-Bulk | meta-GGA SCAN | PBEsol geometry; density = 10956 kg/m3; calculated volume = 27.87 Å³/atom; total magnetic moment = 0.0 Bohr magnetons per cell; SG = No. 160; DFT formation energy = -0.56 eV per atom
1.0
2.4611 1.4209 5.3128
-2.4611 1.4209 5.3128
0.0000 -2.8418 5.3128
Ba Hg Au
1 2 1
direct
0.0000 0.0000 0.0000
0.2120 0.2120 0.2120
0.4620 0.4620 0.4620
0.7910 0.7910 0.7910